CrCoAs2: optimized geometry, PBE.

Summary:
formation energy: -11 meV per atom
polymorph energy (0 for the lowest one): 45 meV/atom

a b c (Å): 8.523 3.129 4.240
angles (deg): 90.00 102.93 90.00
Sites, in units of the cell vectors:
Cr (0.000, 0.000, 0.000)
Cr (0.500, 0.500, 0.000)
Co (0.289, 0.500, 0.400)
Co (0.789, 0.000, 0.400)
As (0.016, 0.500, 0.510)
As (0.273, 0.000, 0.925)
As (0.516, 0.000, 0.510)
As (0.773, 0.500, 0.925)